(1)
Here is AlNiSb after structural relaxation from Alexandria via LeMat-Bulk. Energies are from PBE-GGA.

The structure in extended XYZ format:
```
3
Lattice="-1.509 1.509 5.905 1.509 -1.509 5.905 1.509 1.509 -5.905" Properties=species:S:1:pos:R:3 pbc="T T T"
Al 0.000 0.000 0.000
Ni 0.000 0.000 7.206
Sb 0.000 0.000 3.149
```

Calculated values
ΔE_f (raw)   -67 meV per atom

***

(2)
Here is MgPO4 after structural relaxation from Alexandria via LeMat-Bulk. Energies are from PBE-GGA.

The structure in extended XYZ format:
```
12
Lattice="4.629 0.000 0.000 0.000 4.629 0.000 0.000 0.000 8.399" Properties=species:S:1:pos:R:3 pbc="T T T"
Mg 0.000 0.000 0.000
Mg 0.000 0.000 4.200
P 0.000 2.314 2.100
P 2.314 0.000 6.300
O 0.820 1.377 3.017
O 0.820 3.252 1.183
O 1.377 0.820 7.217
O 1.377 3.809 5.383
O 3.252 0.820 5.383
O 3.252 3.809 7.217
O 3.809 1.377 1.183
O 3.809 3.252 3.017
```

Calculated values
ΔE_f (raw)   -2059 meV per atom

***

(3)
Here is ScTa2Be after structural relaxation from Alexandria via LeMat-Bulk. Energies are from PBE-GGA.

The structure in extended XYZ format:
```
4
Lattice="4.022 0.000 0.000 0.000 4.022 0.000 0.000 0.000 4.212" Properties=species:S:1:pos:R:3 pbc="T T T"
Sc 0.000 0.000 0.000
Ta 0.000 2.011 2.106
Ta 2.011 0.000 2.106
Be 2.011 2.011 0.000
```

Calculated values
E_form   0.1969 eV per atom

***

(4)
Here is CaSc2Fe after structural relaxation from Alexandria via LeMat-Bulk. Energies are from PBE-GGA.

The structure in extended XYZ format:
```
4
Lattice="3.520 0.000 0.000 0.000 3.520 0.000 0.000 0.000 7.700" Properties=species:S:1:pos:R:3 pbc="T T T"
Ca 0.000 0.000 0.000
Sc 0.000 0.000 3.088
Sc 1.760 1.760 5.004
Fe 1.760 1.760 2.159
```

Calculated values
E_form   0.1652 eV per atom
Energy above the most stable polymorph in this dataset   0.167 eV per atom

***

(5)
Here is Tm2Ga2FeNi5 after structural relaxation from Alexandria via LeMat-Bulk. Energies are from PBE-GGA.

The structure in extended XYZ format:
```
20
Lattice="9.453 0.000 0.000 0.000 9.453 0.000 0.000 0.000 3.337" Properties=species:S:1:pos:R:3 pbc="T T T"
Tm 1.647 3.079 0.000
Tm 3.079 7.806 0.000
Tm 6.374 1.647 0.000
Tm 7.806 6.374 0.000
Ga 1.186 5.912 0.000
Ga 3.541 1.186 0.000
Ga 5.912 8.267 0.000
Ga 8.267 3.541 0.000
Fe 0.000 0.000 0.000
Fe 4.726 4.726 0.000
Ni 0.000 4.726 1.669
Ni 0.501 7.636 1.669
Ni 1.817 0.501 1.669
Ni 2.909 5.227 1.669
Ni 4.226 2.909 1.669
Ni 4.726 0.000 1.669
Ni 5.227 6.544 1.669
Ni 6.544 4.226 1.669
Ni 7.636 8.952 1.669
Ni 8.952 1.817 1.669
```

Calculated values
E_form   -0.3008 eV per atom

***

(6)
Here is Hf2ThTl after structural relaxation from Alexandria via LeMat-Bulk. Energies are from PBE-GGA.

The structure in extended XYZ format:
```
4
Lattice="3.699 0.000 0.000 0.000 3.699 0.000 0.000 0.000 7.171" Properties=species:S:1:pos:R:3 pbc="T T T"
Hf 0.000 0.000 1.649
Hf 0.000 0.000 5.522
Th 1.849 1.849 3.585
Tl 1.849 1.849 0.000
```

Calculated values
E_form   0.1328 eV per atom
Energy above the most stable polymorph in this dataset   0.049 eV per atom

***

Number 1: ρ 6.4 Mg/m³. Number 2: ρ 2.2 Mg/m³. Number 3: ρ 10.1 Mg/m³. Number 4: ρ 3.2 Mg/m³. Number 5: ρ 9.2 Mg/m³. Number 6: ρ 13.4 Mg/m³.